Record 1
The following is a DFT calculation (SCAN) of Tc2SbRh at its PBEsol-relaxed geometry.

Output
Energy relative to the elements, uncorrected: 0.251 eV per atom
Space group: Cmmm
Calculated total energy: -140.147 eV/cell

abc: 2.935 4.800 4.800
angles: 114.64 90.00 90.00
Sites, in units of the cell vectors:
Tc  0.000  0.500  0.000
Tc  0.000  0.000  0.500
Sb  0.500  0.000  0.000
Rh  0.500  0.500  0.500



Record 2
The following is a DFT calculation (SCAN) of Tc2SbRh at its PBEsol-relaxed geometry.

Output
Energy relative to the elements, uncorrected: 0.207 eV per atom
Space group: Immm
Calculated total energy: -140.325 eV/cell

abc: 3.104 4.376 5.272
angles: 114.52 107.12 90.00
Sites, in units of the cell vectors:
Rh  0.500  0.000  0.000
Tc  0.271  0.271  0.542
Tc  0.729  0.729  0.458
Sb  0.000  0.500  0.000



Record 3
The following is a DFT calculation (SCAN) of Tc2Sb2Rh at its PBEsol-relaxed geometry.

Output
Energy relative to the elements, uncorrected: 0.441 eV per atom
Space group: I4/mmm
Calculated total energy: -176.208 eV/cell

abc: 3.400 3.400 8.383
angles: 101.70 101.70 90.00
Sites, in units of the cell vectors:
Sb  0.399  0.399  0.797
Sb  0.601  0.601  0.203
Tc  0.750  0.250  0.500
Tc  0.250  0.750  0.500
Rh  0.000  0.000  0.000



Record 4
The following is a DFT calculation (SCAN) of TcSb2TeRh at its PBEsol-relaxed geometry.

Output
Energy relative to the elements, uncorrected: 0.907 eV per atom
Space group: P4/mmm
Calculated total energy: -176.067 eV/cell

abc: 4.958 4.958 5.195
angles: 90.00 90.00 90.00
Site moments in Bohr magnetons follow the coordinates.
Sites, in units of the cell vectors:
Tc  0.500  0.500  0.500  3.62
Te  0.000  0.000  0.500  -0.12
Sb  0.000  0.500  0.000  -0.10
Sb  0.500  0.000  0.000  -0.10
Rh  0.000  0.000  0.000  -0.12



> What is the energy relative to the elements, uncorrected in the first record?

0.251 eV per atom